Compound: LaTcH2O6
Source: the Alexandria database
Functional: GGA-PBE
Structure: relaxed

Cell lengths 5.1668, 5.2829, 5.9928 Å; angles 92.66, 114.74, 116.62 degrees
With the nearest neighbours (Å) after each atom.
Fractional coordinates of all 10 atoms:
La 0.0000 0.0000 0.0000  5 O 2.33-2.52
Tc 0.9986 0.4588 0.4902  4 O 1.77-1.82
H 0.4058 0.0494 0.6766  1 O 0.98
H 0.6815 0.7436 0.3068  1 O 0.98
O 0.1749 0.4756 0.2806  1 Tc 1.82
O 0.1915 0.3021 0.7089  1 Tc 1.77
O 0.4699 0.9008 0.7105  1 H 0.98
O 0.5984 0.1484 0.2806  1 Tc 1.77
O 0.8387 0.7282 0.2643  1 H 0.98
O 0.8944 0.6153 0.6929  1 Tc 1.82

Calculated values
M_tot: 0.00 μB/f.u.
calculated total energy: -69.2 eV/cell
SG: P1, No. 1